1.
A relaxed Li2Tc2Os crystal. Source: the Alexandria database, functional GGA-PBE.

Unit cell a=7.5939 b=7.5939 c=7.5939 alpha=155.53 beta=155.53 gamma=34.88
Closest atoms and distances in Å follow each position.
Sites, in units of the cell vectors:
Li: 0.2500 0.7500 0.5000  4 Li 2.28
Li: 0.7500 0.2500 0.5000  4 Li 2.28
Tc: 0.0897 0.0897 0.0000  1 Tc 2.60, 4 Os 2.62, 4 Li 2.83
Tc: 0.9103 0.9103 0.0000  1 Tc 2.60, 4 Os 2.62, 4 Li 2.83
Os: 0.5000 0.5000 0.0000  8 Tc 2.62

Results
As for the formation energy: 0.72 eV/atom. Its total magnetization is 0.00 Bohr magnetons per cell. The calculation puts the polymorph energy (0 for the lowest one) at 0.094 eV per formula unit.

2.
A relaxed Ca3Rh5 crystal. Source: the Alexandria database, functional GGA-PBE.

Unit cell a=5.8184 b=5.8184 c=4.2575 alpha=90.00 beta=90.00 gamma=95.14
Closest atoms and distances in Å follow each position.
Sites, in units of the cell vectors:
Ca: 0.0000 0.0000 0.0000  8 Rh 2.91-2.98, 4 Ca 3.09
Ca: 0.2615 0.7385 0.5000  10 Rh 2.76-3.06
Ca: 0.7385 0.2615 0.5000  10 Rh 2.76-3.06
Rh: 0.0000 0.5000 0.0000  6 Ca 2.90-2.91, 6 Rh 2.91-3.03
Rh: 0.2648 0.2648 0.5000  6 Ca 2.76-3.06, 6 Rh 2.82-3.03
Rh: 0.5000 0.0000 0.0000  6 Ca 2.90-2.91, 6 Rh 2.91-3.03
Rh: 0.5000 0.5000 0.0000  8 Rh 2.82-2.91, 4 Ca 2.95
Rh: 0.7352 0.7352 0.5000  6 Ca 2.76-3.06, 6 Rh 2.82-3.03

Results
As for the formation energy: -0.10 eV/atom. Its total magnetization is 0.00 Bohr magnetons per cell.

3.
A relaxed HfNb2C crystal. Source: the Alexandria database, functional GGA-PBE.

Unit cell a=8.3360 b=8.3360 c=8.3360 alpha=21.54 beta=21.54 gamma=21.54
Closest atoms and distances in Å follow each position.
Sites, in units of the cell vectors:
Hf: 0.0000 0.0000 0.0000  2 Nb 2.82, 6 Hf 3.12
Nb: 0.1154 0.1154 0.1154  3 C 2.19
Nb: 0.8846 0.8846 0.8846  3 C 2.19
C: 0.5000 0.5000 0.5000  6 Nb 2.19

Results
As for the formation energy: -0.01 eV/atom. Its total magnetization is 0.09 Bohr magnetons per cell.

4.
A relaxed SrBeHg2 crystal. Source: the Alexandria database, functional GGA-PBE.

Unit cell a=4.3933 b=4.3933 c=6.5378 alpha=109.68 beta=109.68 gamma=60.08
Closest atoms and distances in Å follow each position.
Sites, in units of the cell vectors:
Sr: 0.0000 0.0000 0.0000  6 Hg 3.34-3.35, 4 Be 3.46-3.60
Be: 0.1914 0.1914 0.5750  6 Hg 2.56-2.84
Hg: 0.5459 0.5459 0.6386  3 Be 2.56-2.57
Hg: 0.7871 0.7871 0.3621  3 Be 2.84, 3 Hg 3.03-3.04

Results
As for the formation energy: -0.06 eV/atom. Its total magnetization is 0.00 Bohr magnetons per cell.

5.
A relaxed K2TaTl crystal. Source: the Alexandria database, functional GGA-PBE.

Unit cell a=10.6614 b=10.6614 c=10.6614 alpha=161.67 beta=154.71 gamma=31.41
Closest atoms and distances in Å follow each position.
Sites, in units of the cell vectors:
K: 0.1522 0.1522 0.0000  2 K 3.40, 2 Tl 3.56
K: 0.8478 0.8478 0.0000  2 K 3.40, 2 Tl 3.56
Ta: 0.5000 0.0000 0.5000  4 Tl 2.89
Tl: 0.0000 0.5000 0.5000  4 Ta 2.89

Results
As for the formation energy: 0.79 eV/atom. Its total magnetization is 1.87 Bohr magnetons per cell. The calculation puts the polymorph energy (0 for the lowest one) at 0.120 eV per formula unit.

6.
A relaxed SrCuOs2 crystal. Source: the Alexandria database, functional GGA-PBE.

Unit cell a=2.9267 b=4.6810 c=5.0425 alpha=90.00 beta=90.00 gamma=90.00
Closest atoms and distances in Å follow each position.
Sites, in units of the cell vectors:
Sr: 0.0000 0.0000 0.0000  4 Cu 2.76, 4 Os 2.92, 2 Sr 2.93
Cu: 0.5000 0.5000 0.0000  4 Sr 2.76, 4 Os 2.92, 2 Cu 2.93
Os: 0.0000 0.5000 0.5000  6 Os 2.76-2.93, 4 Cu 2.92
Os: 0.5000 0.0000 0.5000  6 Os 2.76-2.93, 4 Sr 2.92

Results
As for the formation energy: 0.86 eV/atom. Its total magnetization is 0.02 Bohr magnetons per cell. The calculation puts the polymorph energy (0 for the lowest one) at 2.812 eV per formula unit.

7.
A relaxed Tl3TeBr2O6 crystal. Source: the Alexandria database, functional GGA-PBE.

Unit cell a=6.4645 b=6.4645 c=6.6989 alpha=100.64 beta=100.64 gamma=67.29
Closest atoms and distances in Å follow each position.
Sites, in units of the cell vectors:
Tl: 0.0000 0.0000 0.0000  2 Br 2.85, 4 O 3.05
Tl: 0.0000 0.5000 0.5000  4 O 2.17-2.35
Tl: 0.5000 0.0000 0.5000  4 O 2.17-2.35
Te: 0.5000 0.5000 0.5000  6 O 1.98-2.00
Br: 0.2249 0.2249 0.8413  3 Tl 2.85-2.96
Br: 0.7751 0.7751 0.1587  3 Tl 2.85-2.96
O: 0.2419 0.6464 0.6656  1 Te 2.00, 1 Tl 2.17
O: 0.3235 0.3235 0.3314  1 Te 1.98
O: 0.3536 0.7581 0.3344  1 Te 2.00, 1 Tl 2.17
O: 0.6464 0.2419 0.6656  1 Te 2.00, 1 Tl 2.17
O: 0.6765 0.6765 0.6686  1 Te 1.98
O: 0.7581 0.3536 0.3344  1 Te 2.00, 1 Tl 2.17

Results
Its total magnetization is 0.52 Bohr magnetons per cell. Its formation energy without anion corrections is -0.5608 eV/atom.

8.
A relaxed TaSiP2S crystal. Source: the Alexandria database, functional GGA-PBE.

Unit cell a=4.8815 b=4.8815 c=4.6550 alpha=90.00 beta=90.00 gamma=90.00
Closest atoms and distances in Å follow each position.
Sites, in units of the cell vectors:
Ta: 0.0000 0.0000 0.0000  2 S 2.33, 4 P 2.44
Si: 0.5000 0.5000 0.5000  8 P 3.37, 4 S 3.45
P: 0.0000 0.5000 0.0000  2 Ta 2.44
P: 0.5000 0.0000 0.0000  2 Ta 2.44
S: 0.0000 0.0000 0.5000  2 Ta 2.33

Results
Its total magnetization is 0.00 Bohr magnetons per cell. Its formation energy without anion corrections is 0.5056 eV/atom. The calculation puts the polymorph energy (0 for the lowest one) at 0.000 eV per formula unit.